Record 1
4
Lattice="0.000 3.567 3.567 3.567 0.000 3.567 3.567 3.567 0.000" Properties=species:S:1:pos:R:3 comment="CaAgCl2 (PBE, relaxed)" raw_formation_energy_ev_per_atom=-1.083 space_group=Fm-3m final_energy_ev_per_atom=-3.220 polymorph_energy_mev_per_atom=264.5 dos_ef_per_ev_cell=4.02 pbc="T T T"
Ca 0.000 0.000 0.000
Ag 3.567 3.567 3.567
Cl 1.784 1.784 1.784
Cl 5.351 5.351 5.351

---

Record 2
14
Lattice="-4.533 4.533 4.120 4.533 -4.533 4.120 4.533 4.533 -4.120" Properties=species:S:1:pos:R:3 comment="CaAg5Cl8 (PBE, relaxed)" raw_formation_energy_ev_per_atom=-0.813 space_group=I-4 final_energy_ev_per_atom=-3.029 dos_ef_per_ev_cell=10.36 pbc="T T T"
Ca 0.000 0.000 0.000
Ag 6.006 2.257 -0.895
Ag 4.533 0.000 2.060
Ag 2.257 3.060 0.895
Ag -1.473 2.276 3.225
Ag 2.276 1.473 5.015
Cl 2.553 4.360 -1.410
Cl 1.981 0.173 2.710
Cl -0.251 2.556 0.831
Cl 4.706 2.553 1.410
Cl 0.251 6.510 0.831
Cl 1.977 4.282 3.289
Cl -0.173 1.981 5.529
Cl -1.977 4.784 3.289

---

Record 3
4
Lattice="-2.044 2.044 5.450 2.044 -2.044 5.450 2.044 2.044 -5.450" Properties=species:S:1:pos:R:3 comment="CaAgCl2 (PBE, relaxed)" raw_formation_energy_ev_per_atom=-1.051 space_group=I-4m2 final_energy_ev_per_atom=-3.187 polymorph_energy_mev_per_atom=296.9 dos_ef_per_ev_cell=1.41 pbc="T T T"
Ca 0.000 0.000 0.000
Ag 0.000 2.044 2.725
Cl 2.044 0.000 2.725
Cl 0.000 0.000 5.450

---

Record 4
4
Lattice="4.258 0.000 0.000 0.000 6.214 0.000 0.000 0.000 4.240" Properties=species:S:1:pos:R:3 comment="Ca2AgCl (PBE, relaxed)" raw_formation_energy_ev_per_atom=-0.876 space_group=Pmm2 final_energy_ev_per_atom=-3.051 polymorph_energy_mev_per_atom=76.4 dos_ef_per_ev_cell=3.47 pbc="T T T"
Ca 0.000 0.000 0.000
Ca 2.129 3.107 2.115
Ag 0.000 3.107 4.234
Cl 2.129 0.000 2.118

---

- Number 2 is which compound?
  CaAg5Cl8